Material: Sr2La2Cr
Method: DFT, PBE
State: optimized geometry

Structure (extended XYZ):
```
10
Lattice="7.324 0.000 0.000 0.000 7.324 0.000 0.000 0.000 6.710" Properties=species:S:1:pos:R:3 pbc="T T T"
Sr 5.953 2.291 3.355
Sr 5.032 5.953 3.355
Sr 2.291 1.371 3.355
Sr 1.371 5.032 3.355
Cr 0.000 0.000 0.000
Cr 3.662 3.662 0.000
La 2.311 5.973 0.000
La 5.013 1.351 0.000
La 1.351 2.311 0.000
La 5.973 5.013 0.000
```

Output
- formation energy (eV per atom) = 0.55

Material: Ti5As2O
Method: DFT, PBE
State: optimized geometry

Structure (extended XYZ):
```
16
Lattice="-0.707 -3.722 2.120 6.512 1.627 0.584 -2.151 5.437 8.827" Properties=species:S:1:pos:R:3 pbc="T T T"
Ti 3.367 0.244 1.552
Ti 0.699 0.654 1.382
Ti 3.484 1.352 7.981
Ti 0.170 1.990 3.551
Ti 1.768 -0.603 3.977
Ti 0.288 3.098 9.980
Ti 2.956 2.688 10.149
Ti 1.064 1.135 6.792
Ti 2.590 2.208 4.739
Ti 1.886 3.945 7.554
As 3.456 0.124 5.815
As 4.090 -1.481 3.210
As 0.199 3.219 5.717
As -0.436 4.823 8.321
O 1.630 2.080 8.640
O 2.025 1.262 2.891
```

Output
- energy relative to the elements, uncorrected (meV per atom) = -749

Material: Pr4Nd8Er
Method: DFT, PBE
State: optimized geometry

Structure (extended XYZ):
```
13
Lattice="10.480 -0.001 -5.654 -6.765 9.799 -0.001 -2.954 -2.039 7.063" Properties=species:S:1:pos:R:3 pbc="T T T"
Pr 5.240 0.000 -2.827
Pr 1.858 4.899 -2.827
Pr -6.337 2.861 7.063
Pr 0.000 0.000 0.000
Nd -6.858 6.131 6.119
Nd -0.527 6.871 -0.978
Nd 1.288 0.889 2.387
Nd 7.618 1.629 -4.710
Nd -1.600 6.131 3.282
Nd 2.360 1.629 -1.873
Nd -3.464 1.214 6.119
Nd 4.224 6.546 -4.710
Er -4.859 3.880 3.531
```

Output
- formation energy (eV per atom) = 0.39

Material: TmHgTe2
Method: DFT, PBE
State: optimized geometry

Structure (extended XYZ):
```
4
Lattice="4.355 0.000 0.000 2.177 3.771 0.000 2.177 1.257 7.874" Properties=species:S:1:pos:R:3 pbc="T T T"
Te 2.177 1.257 6.123
Te 2.177 1.257 1.723
Hg 4.355 2.514 3.949
Tm 4.355 2.514 0.016
```

Output
- energy relative to the elements, uncorrected (meV per atom) = -746

Material: K2NiBSe4
Method: DFT, PBE
State: optimized geometry

Structure (extended XYZ):
```
16
Lattice="-3.449 5.268 -0.868 -2.292 1.253 -6.560 -10.559 -2.813 1.612" Properties=species:S:1:pos:R:3 pbc="T T T"
B -1.725 2.634 -0.434
B -7.288 0.537 -2.691
Se -7.184 2.085 -4.074
Se -5.469 0.175 -1.753
Se -8.928 1.335 -1.695
Se -11.021 3.822 -4.111
Se -10.644 -0.977 0.181
Se -14.292 3.058 -4.831
Se -3.544 2.996 -1.372
Se -4.121 2.340 -5.611
K -12.243 1.179 -2.377
K -6.680 3.276 -0.120
K -5.782 5.164 -3.874
K -7.328 -0.821 0.863
Ni -9.013 3.171 -3.125
Ni 0.000 0.000 0.000
```

Output
- energy relative to the elements, uncorrected (meV per atom) = -563

Material: NaP3H
Method: DFT, PBE
State: optimized geometry

Structure (extended XYZ):
```
5
Lattice="4.883 0.000 0.000 0.000 4.883 0.000 0.000 0.000 4.883" Properties=species:S:1:pos:R:3 pbc="T T T"
P 0.000 0.000 2.441
P 0.000 2.441 0.000
P 2.441 0.000 0.000
Na 0.000 0.000 0.000
H 2.441 2.441 2.441
```

Output
- total energy (eV/cell) = -11.2

Material: FeRe2Si
Method: DFT, PBE
State: optimized geometry

Structure (extended XYZ):
```
4
Lattice="-0.673 -4.830 0.722 0.747 -1.593 4.605 -2.653 3.052 -2.819" Properties=species:S:1:pos:R:3 pbc="T T T"
Re 0.073 -6.335 5.254
Re 0.038 -3.300 2.737
Fe -0.934 -0.876 2.225
Si -1.645 -2.494 0.283
```

Output
- energy relative to the elements, uncorrected (meV per atom) = 47

Material: Tb2Ho7Tl2
Method: DFT, PBE
State: optimized geometry

Structure (extended XYZ):
```
11
Lattice="-2.889 1.659 1.468 -0.383 -5.302 9.754 4.402 3.050 9.733" Properties=species:S:1:pos:R:3 pbc="T T T"
Ho -0.739 -0.455 8.089
Ho 1.183 2.005 13.607
Ho 3.437 -0.719 16.607
Ho -1.265 1.943 4.342
Ho 2.708 3.443 10.467
Ho 1.094 -1.493 12.869
Ho 2.231 1.388 7.337
Tb 0.916 -3.035 9.748
Tb 1.050 0.549 10.475
Tl 0.404 -1.337 15.851
Tl -0.263 -0.983 5.108
```

Output
- formation energy (eV per atom) = -0.02